1.
The following is a PBE calculation of a relaxed structure of Pm2Sn3Au4, from Alexandria. Values from VASP.

```
&SYSTEM
  ibrav = 0, nat = 18, ntyp = 3
/
ATOMIC_SPECIES
Pm 145.00 Pm.upf
Sn 118.71 Sn.upf
Au 196.97 Au.upf
CELL_PARAMETERS angstrom
3.171 -8.101 0.000
3.171 8.101 0.000
0.000 0.000 8.259
ATOMIC_POSITIONS angstrom
Pm 3.171 6.321 7.502
Pm 3.171 1.780 3.372
Pm 3.171 -1.780 4.887
Pm 3.171 -6.321 0.758
Sn 0.000 0.000 4.130
Sn 1.586 3.598 6.195
Sn 1.586 -3.598 2.065
Sn 3.171 0.000 0.000
Sn 4.757 3.598 6.195
Sn 4.757 -3.598 2.065
Au 3.171 5.246 4.468
Au 1.586 0.793 6.195
Au 1.586 -0.793 2.065
Au 3.171 2.855 0.338
Au 3.171 -2.855 7.921
Au 4.757 0.793 6.195
Au 4.757 -0.793 2.065
Au 3.171 -5.246 3.791
```

Properties
Energy of formation from the pure elements ... -539.0 meV/atom
Space group ... Cmce, No. 64

2.
The following is a PBE calculation of a relaxed structure of Pm3Sn3Au2, from Alexandria. Values from VASP.

```
&SYSTEM
  ibrav = 0, nat = 8, ntyp = 3
/
ATOMIC_SPECIES
Pm 145.00 Pm.upf
Sn 118.71 Sn.upf
Au 196.97 Au.upf
CELL_PARAMETERS angstrom
4.668 0.000 0.000
0.001 4.749 0.000
2.319 2.367 9.324
ATOMIC_POSITIONS angstrom
Pm 0.000 0.000 0.000
Pm 2.330 4.747 2.748
Pm 4.658 2.369 6.576
Sn 2.323 4.744 6.802
Sn 2.335 2.375 0.000
Sn 4.665 2.372 2.522
Au 2.324 2.373 4.545
Au 4.663 4.743 4.779
```

Properties
Energy of formation from the pure elements ... -673.4 meV/atom
Space group ... P-1, No. 2

3.
The following is a PBE calculation of a relaxed structure of Pm2SnAu6, from Alexandria. Values from VASP.

```
&SYSTEM
  ibrav = 0, nat = 9, ntyp = 3
/
ATOMIC_SPECIES
Pm 145.00 Pm.upf
Sn 118.71 Sn.upf
Au 196.97 Au.upf
CELL_PARAMETERS angstrom
7.334 -4.040 0.000
7.334 4.040 0.000
-0.007 0.000 3.453
ATOMIC_POSITIONS angstrom
Pm 2.406 0.000 3.452
Pm 12.255 0.000 0.001
Sn 7.334 0.000 0.000
Au 4.880 1.372 1.733
Au 7.331 2.654 1.727
Au 9.781 1.372 1.720
Au 4.880 -1.372 1.733
Au 7.331 -2.654 1.727
Au 9.781 -1.372 1.720
```

Properties
Distance to the lowest polymorph of the same formula ... 82 kJ/mol of formula units
Energy of formation from the pure elements ... -501.9 meV/atom
Space group ... C2/m, No. 12

4.
The following is a PBE calculation of a relaxed structure of PmSnAu, from Alexandria. Values from VASP.

```
&SYSTEM
  ibrav = 0, nat = 3, ntyp = 3
/
ATOMIC_SPECIES
Pm 145.00 Pm.upf
Sn 118.71 Sn.upf
Au 196.97 Au.upf
CELL_PARAMETERS angstrom
0.000 3.425 3.425
3.425 0.000 3.425
3.425 3.425 0.000
ATOMIC_POSITIONS angstrom
Pm 0.000 0.000 0.000
Sn 3.425 3.425 3.425
Au 5.138 5.138 5.138
```

Properties
Distance to the lowest polymorph of the same formula ... 0 kJ/mol of formula units
Energy of formation from the pure elements ... -853.3 meV/atom
Space group ... F-43m, No. 216

5.
The following is a PBE calculation of a relaxed structure of Pm2SnAu, from Alexandria. Values from VASP.

```
&SYSTEM
  ibrav = 0, nat = 4, ntyp = 3
/
ATOMIC_SPECIES
Pm 145.00 Pm.upf
Sn 118.71 Sn.upf
Au 196.97 Au.upf
CELL_PARAMETERS angstrom
0.000 3.783 3.783
3.783 0.000 3.783
3.783 3.783 0.000
ATOMIC_POSITIONS angstrom
Pm 1.892 1.892 1.892
Pm 5.675 5.675 5.675
Sn 0.000 0.000 0.000
Au 3.783 3.783 3.783
```

Properties
Distance to the lowest polymorph of the same formula ... 17 kJ/mol of formula units
Energy of formation from the pure elements ... -719.9 meV/atom
Space group ... Fm-3m, No. 225

6.
The following is a PBE calculation of a relaxed structure of Pm4Sn8Au, from Alexandria. Values from VASP.

```
&SYSTEM
  ibrav = 0, nat = 13, ntyp = 3
/
ATOMIC_SPECIES
Pm 145.00 Pm.upf
Sn 118.71 Sn.upf
Au 196.97 Au.upf
CELL_PARAMETERS angstrom
4.418 0.000 0.000
0.000 4.483 0.000
0.000 0.000 17.879
ATOMIC_POSITIONS angstrom
Pm 0.000 0.000 0.000
Pm 0.000 2.242 8.472
Pm 2.209 0.000 14.070
Pm 2.209 2.242 5.032
Sn 0.000 0.000 5.672
Sn 0.000 0.000 11.020
Sn 0.000 2.242 2.488
Sn 0.000 2.242 15.438
Sn 2.209 0.000 2.571
Sn 2.209 0.000 7.694
Sn 2.209 2.242 10.991
Sn 2.209 2.242 17.387
Au 0.000 2.242 12.785
```

Properties
Energy of formation from the pure elements ... -606.6 meV/atom
Space group ... Pmm2, No. 25